First-principles (PBE) data for crystalline ReAsRu2 at its relaxed geometry, as listed in the Alexandria database.

Cell: 5.5402 5.5402 10.9264 Å, 90.00 90.00 90.00°
Space group I-42d (No. 122)
Symmetry-distinct sites (fractional):
Re1 0.0000 0.0000 0.0000 x4
As1 0.0000 0.0000 0.5000 x4
Ru1 0.2500 0.2500 0.1250 x8

**Fermi-level density of states**: 10.4 states/eV per cell

---

First-principles (PBE) data for crystalline Pm4Pr2Nd5 at its relaxed geometry, as listed in the Alexandria database.

Cell: 12.5052 6.9931 10.9281 Å, 90.00 124.83 90.00°
Space group C2/m (No. 12)
Symmetry-distinct sites (fractional):
Pm1 0.1958 0.0000 0.4903 x4
Pm2 0.2220 0.0000 0.1495 x4
Pr1 0.2196 0.0000 0.8149 x4
Nd1 0.0000 0.5000 0.5000 x2
Nd2 0.0037 0.2706 0.1676 x8

**Fermi-level density of states**: 33.0 states/eV per cell

---

First-principles (PBE) data for crystalline PmPb3 at its relaxed geometry, as listed in the Alexandria database.

Cell: 4.6848 4.6848 10.9372 Å, 90.00 90.00 90.00°
Space group I4/mmm (No. 139)
Symmetry-distinct sites (fractional):
Pm1 0.0000 0.0000 0.0000 x2
Pb1 0.0000 0.0000 0.5000 x2
Pb2 0.0000 0.5000 0.2500 x4

**Fermi-level density of states**: 4.8 states/eV per cell

---

no.,energy of formation (eV/atom),electronic total energy (eV per atom)
1,0.668,-8.244
2,0.148,-4.615
3,-0.317,-4.286